1.
A plane-wave DFT calculation with GGA-PBE was carried out for a relaxed BaTeH3 crystal.

abc: 4.9175 5.2730 9.0477
angles: 79.99 89.95 62.26
Fractional coordinates of all 10 atoms:
Ba (0.0000, 0.0000, 0.0000)
Ba (0.2615, 0.4800, 0.5259)
Te (0.5441, 0.9155, 0.3090)
Te (0.6417, 0.7186, 0.7685)
H (0.0688, 0.4014, 0.1499)
H (0.3454, 0.3081, 0.9133)
H (0.3888, 0.2222, 0.9953)
H (0.5272, 0.4063, 0.1483)
H (0.5474, 0.5041, 0.0796)
H (0.9486, 0.5018, 0.0825)

Computed properties:
Crystal system: triclinic
E (eV per cell): -36.2

=====

2.
A plane-wave DFT calculation with GGA-PBE was carried out for a relaxed BaTeH3 crystal.

abc: 9.9869 9.9869 9.9869
angles: 28.20 28.20 28.20
Fractional coordinates of all 10 atoms:
Ba (0.0000, 0.0000, 0.0000)
Ba (0.1810, 0.1810, 0.1810)
Te (0.4306, 0.4306, 0.4306)
Te (0.5872, 0.5872, 0.5872)
H (0.3420, 0.3420, 0.3420)
H (0.4930, 0.4930, 0.4930)
H (0.6868, 0.6868, 0.6868)
H (0.7135, 0.7135, 0.7135)
H (0.8281, 0.8281, 0.8281)
H (0.8550, 0.8550, 0.8550)

Computed properties:
Crystal system: trigonal
E (eV per cell): -35.5

=====

3.
A plane-wave DFT calculation with GGA-PBE was carried out for a relaxed BaTeH2 crystal.

abc: 4.8960 4.9388 9.8879
angles: 90.00 90.26 90.00
Fractional coordinates of all 8 atoms:
Ba (0.2485, 0.2500, 0.3299)
Ba (0.7515, 0.7500, 0.6701)
Te (0.2515, 0.2500, 0.6789)
Te (0.7485, 0.7500, 0.3211)
H (0.2459, 0.6736, 0.9673)
H (0.2459, 0.8264, 0.9673)
H (0.7541, 0.1736, 0.0327)
H (0.7541, 0.3264, 0.0327)

Computed properties:
Crystal system: monoclinic
E (eV per cell): -30.1

=====

4.
A plane-wave DFT calculation with GGA-PBE was carried out for a relaxed Ba4Te3H crystal.

abc: 15.9311 15.9311 15.9311
angles: 17.64 17.64 17.64
Fractional coordinates of all 8 atoms:
Ba (0.1230, 0.1230, 0.1230)
Ba (0.3694, 0.3694, 0.3694)
Ba (0.6306, 0.6306, 0.6306)
Ba (0.8770, 0.8770, 0.8770)
Te (0.2557, 0.2557, 0.2557)
Te (0.5000, 0.5000, 0.5000)
Te (0.7443, 0.7443, 0.7443)
H (0.0000, 0.0000, 0.0000)

Computed properties:
Crystal system: trigonal
E (eV per cell): -31.2

=====

5.
A plane-wave DFT calculation with GGA-PBE was carried out for a relaxed BaTeH3 crystal.

abc: 6.6411 6.6411 4.9382
angles: 107.23 107.23 84.95
Fractional coordinates of all 10 atoms:
Ba (0.2491, 0.7509, 0.0000)
Ba (0.7509, 0.2491, 0.0000)
Te (0.3060, 0.3060, 0.2644)
Te (0.8542, 0.8542, 0.3927)
H (0.3710, 0.9708, 0.6510)
H (0.4638, 0.8942, 0.6357)
H (0.5692, 0.5692, 0.7075)
H (0.6418, 0.6418, 0.8529)
H (0.8942, 0.4638, 0.6357)
H (0.9708, 0.3710, 0.6510)

Computed properties:
Crystal system: monoclinic
E (eV per cell): -36.5

=====

6.
A plane-wave DFT calculation with GGA-PBE was carried out for a relaxed BaTeH2 crystal.

abc: 4.8346 4.8346 4.8346
angles: 60.00 60.00 60.00
Fractional coordinates of all 4 atoms:
Ba (0.0000, 0.0000, 0.0000)
Te (0.5000, 0.5000, 0.5000)
H (0.2500, 0.2500, 0.2500)
H (0.7500, 0.7500, 0.7500)

Computed properties:
Crystal system: cubic
E (eV per cell): -12.6

=====

7.
A plane-wave DFT calculation with GGA-PBE was carried out for a relaxed BaTeH3 crystal.

abc: 4.8963 5.4204 8.9862
angles: 83.95 74.44 64.32
Fractional coordinates of all 10 atoms:
Ba (0.0000, 0.0000, 0.0000)
Ba (0.4267, 0.6988, 0.4764)
Te (0.2048, 0.3801, 0.2256)
Te (0.6118, 0.0966, 0.7048)
H (0.0091, 0.4294, 0.5804)
H (0.0239, 0.4614, 0.8585)
H (0.5083, 0.8661, 0.1226)
H (0.5897, 0.7105, 0.1044)
H (0.8455, 0.5433, 0.8841)
H (0.9183, 0.5737, 0.6176)

Computed properties:
Crystal system: triclinic
E (eV per cell): -36.4

=====

8.
A plane-wave DFT calculation with GGA-PBE was carried out for a relaxed BaTeH3 crystal.

abc: 4.7491 4.7511 11.4993
angles: 78.39 85.57 61.69
Fractional coordinates of all 10 atoms:
Ba (0.0000, 0.0000, 0.0000)
Ba (0.3556, 0.1335, 0.3718)
Te (0.3320, 0.4597, 0.7951)
Te (0.6739, 0.5729, 0.1763)
H (0.0113, 0.7879, 0.4102)
H (0.5493, 0.6209, 0.8385)
H (0.6067, 0.8999, 0.6206)
H (0.6336, 0.4194, 0.5402)
H (0.7032, 0.4255, 0.4783)
H (0.7483, 0.8503, 0.5790)

Computed properties:
Crystal system: triclinic
E (eV per cell): -35.5

=====

9.
A plane-wave DFT calculation with GGA-PBE was carried out for a relaxed BaTe2H6 crystal.

abc: 5.0674 6.1778 6.2595
angles: 116.75 95.36 110.94
Fractional coordinates of all 9 atoms:
Ba (0.0000, 0.0000, 0.0000)
Te (0.1906, 0.4229, 0.6860)
Te (0.8094, 0.5771, 0.3140)
H (0.4188, 0.9145, 0.2543)
H (0.4821, 0.5674, 0.2088)
H (0.4922, 0.9318, 0.6854)
H (0.5078, 0.0682, 0.3146)
H (0.5179, 0.4326, 0.7912)
H (0.5812, 0.0855, 0.7457)

Computed properties:
Crystal system: triclinic
E (eV per cell): -30.8

=====

10.
A plane-wave DFT calculation with GGA-PBE was carried out for a relaxed BaTeH3 crystal.

abc: 5.0146 5.0146 9.6645
angles: 107.51 107.51 59.36
Fractional coordinates of all 10 atoms:
Ba (0.0000, 0.0000, 0.0000)
Ba (0.1566, 0.1566, 0.5121)
Te (0.4008, 0.4008, 0.2763)
Te (0.5833, 0.5833, 0.7529)
H (0.3359, 0.3359, 0.9013)
H (0.3429, 0.3429, 0.9838)
H (0.6305, 0.6305, 0.1382)
H (0.6520, 0.6520, 0.0668)
H (0.8086, 0.8086, 0.4675)
H (0.8405, 0.8405, 0.5525)

Computed properties:
Crystal system: monoclinic
E (eV per cell): -36.6